Density functional theory data (PBE-GGA) for a relaxed TbPrGaCo crystal.

```
TbPrGaCo
1.0
0.0000 3.5704 3.5704
3.5704 0.0000 3.5704
3.5704 3.5704 0.0000
Tb Pr Ga Co
1 1 1 1
direct
0.0000 0.0000 0.0000
0.5000 0.5000 0.5000
0.2500 0.2500 0.2500
0.7500 0.7500 0.7500
```

Summary:
The final energy is -5.115 eV/atom. For the density of states at the Fermi level, the calculation gives 2.81 states/eV/f.u. Its space group is No. 216.